CePmTcRu: relaxed, PBE.

a b c (Å): 4.9114 4.9114 4.9114
angles (deg): 60.00 60.00 60.00
Fractional coordinates of all 4 atoms:
Ce  0.0000  0.0000  0.0000
Pm  0.5000  0.5000  0.5000
Tc  0.7500  0.7500  0.7500
Ru  0.2500  0.2500  0.2500

- DOS at the Fermi energy: 2.8 states/eV/f.u.
- Formation energy: -0.034 eV/atom
- Total energy: -7.616 eV per atom
- Space-group type: F-43m